1.
## NdY2TaO8 (GGA-PBE)

Data for NdY2TaO8 after structural relaxation.

symmetry	No. 2
total magnetization	2.012	Bohr magnetons per cell
total DFT energy (no corrections)	-8.634	eV/atom
uncorrected formation energy	-34.391	eV per formula unit
calculated volume	155.6	Å³/cell

a = 3.796 Å, b = 5.541 Å, c = 7.410 Å
α = 88.41°, β = 86.84°, γ = 89.96°
Element x y z (fractional)
Nd (0.000, 0.000, 0.000)
Y (0.483, 0.483, 0.246)
Y (0.517, 0.517, 0.754)
Ta (0.000, 0.000, 0.500)
O (0.012, 0.248, 0.707)
O (0.017, 0.768, 0.714)
O (0.479, 0.212, 0.518)
O (0.497, 0.739, 0.006)
O (0.503, 0.261, 0.994)
O (0.521, 0.788, 0.482)
O (0.983, 0.232, 0.286)
O (0.988, 0.752, 0.293)


2.
## PaTcNiN3 (GGA-PBE)

Data for PaTcNiN3 after structural relaxation.

symmetry	No. 11
total magnetization	0.000	Bohr magnetons per cell
total DFT energy (no corrections)	-8.987	eV/atom
uncorrected formation energy	-3.305	eV per formula unit
calculated volume	142.2	Å³/cell

a = 6.029 Å, b = 3.302 Å, c = 7.310 Å
α = 90.00°, β = 102.26°, γ = 90.00°
Element x y z (fractional)
Pa (0.177, 0.250, 0.225)
Pa (0.823, 0.750, 0.775)
Tc (0.353, 0.750, 0.881)
Tc (0.647, 0.250, 0.119)
Ni (0.152, 0.250, 0.607)
Ni (0.848, 0.750, 0.393)
N (0.125, 0.250, 0.880)
N (0.192, 0.750, 0.466)
N (0.434, 0.750, 0.164)
N (0.566, 0.250, 0.836)
N (0.808, 0.250, 0.534)
N (0.875, 0.750, 0.120)


3.
## Na12CdHg2 (GGA-PBE)

Data for Na12CdHg2 after structural relaxation.

symmetry	No. 125
calculated formation energy	0.040	eV per atom
total magnetization	0.000	Bohr magnetons per cell
total DFT energy (no corrections)	-1.117	eV/atom
calculated volume	1103.1	Å³/cell

a = 6.661 Å, b = 6.661 Å, c = 24.866 Å
α = 90.00°, β = 90.00°, γ = 90.00°
Element x y z (fractional)
Na (0.000, 0.000, 0.088)
Na (0.000, 0.000, 0.912)
Na (0.000, 0.500, 0.088)
Na (0.000, 0.500, 0.912)
Na (0.070, 0.570, 0.435)
Na (0.070, 0.930, 0.565)
Na (0.250, 0.250, 0.195)
Na (0.250, 0.250, 0.325)
Na (0.250, 0.250, 0.675)
Na (0.250, 0.250, 0.805)
Na (0.430, 0.570, 0.565)
Na (0.430, 0.930, 0.435)
Na (0.500, 0.000, 0.088)
Na (0.500, 0.000, 0.912)
Na (0.500, 0.500, 0.088)
Na (0.500, 0.500, 0.912)
Na (0.570, 0.070, 0.565)
Na (0.570, 0.430, 0.435)
Na (0.750, 0.750, 0.195)
Na (0.750, 0.750, 0.325)
Na (0.750, 0.750, 0.675)
Na (0.750, 0.750, 0.805)
Na (0.930, 0.070, 0.435)
Na (0.930, 0.430, 0.565)
Cd (0.250, 0.750, 0.000)
Cd (0.750, 0.250, 0.000)
Hg (0.250, 0.750, 0.188)
Hg (0.250, 0.750, 0.812)
Hg (0.750, 0.250, 0.188)
Hg (0.750, 0.250, 0.812)